No. 1
A geometry-optimized Tm6AlTe3P2 structure, computed with PBE-GGA.

Output
DFT total energy (Ha/atom): -0.2004
Total magnetic moment (μB/f.u.): 0.00
Symmetry: C2/m, No. 12
E_form (uncorrected) (eV per atom): -1.220

a b c (Å): 9.404 9.404 8.553
angles (deg): 104.55 104.55 24.99
Fractional coordinates of all 12 atoms:
Tm  0.010  0.010  0.244
Tm  0.324  0.324  0.438
Tm  0.337  0.337  0.890
Tm  0.663  0.663  0.110
Tm  0.676  0.676  0.562
Tm  0.990  0.990  0.756
Al  0.500  0.500  0.000
Te  0.166  0.166  0.831
Te  0.500  0.500  0.500
Te  0.834  0.834  0.169
P  0.169  0.169  0.338
P  0.831  0.831  0.662

=====

No. 2
A geometry-optimized Li2Pm3Ag4 structure, computed with PBE-GGA.

Output
Excess energy over the best structure of this formula in the dataset (meV per atom): 15
DFT total energy (Ha/atom): -0.1271
Total magnetic moment (μB/f.u.): 0.00
Symmetry: C2/m, No. 12

a b c (Å): 5.696 5.696 9.193
angles (deg): 96.33 96.33 46.45
Fractional coordinates of all 9 atoms:
Li  0.179  0.179  0.284
Li  0.821  0.821  0.716
Pm  0.126  0.126  0.885
Pm  0.500  0.500  0.500
Pm  0.874  0.874  0.115
Ag  0.216  0.216  0.584
Ag  0.417  0.417  0.859
Ag  0.583  0.583  0.141
Ag  0.784  0.784  0.416

=====

No. 3
A geometry-optimized InBi2Cl structure, computed with PBE-GGA.

Output
Excess energy over the best structure of this formula in the dataset (meV per atom): 119
DFT total energy (Ha/atom): -0.1205
Total magnetic moment (μB/f.u.): 0.00
Symmetry: I-42d, No. 122
E_form (uncorrected) (eV per atom): -0.192

a b c (Å): 4.578 4.578 24.540
angles (deg): 90.00 90.00 90.00
Fractional coordinates of all 16 atoms:
In  0.000  0.000  0.000
In  0.000  0.500  0.250
In  0.500  0.000  0.750
In  0.500  0.500  0.500
Bi  0.220  0.250  0.125
Bi  0.250  0.720  0.375
Bi  0.250  0.780  0.875
Bi  0.280  0.250  0.625
Bi  0.720  0.750  0.625
Bi  0.750  0.220  0.875
Bi  0.750  0.280  0.375
Bi  0.780  0.750  0.125
Cl  0.000  0.000  0.500
Cl  0.000  0.500  0.750
Cl  0.500  0.000  0.250
Cl  0.500  0.500  0.000